First-principles (SCAN) data for Ba2TcPI at its PBEsol-relaxed geometry, as listed in Alexandria via LeMat-Bulk.

Calculated total energy (eV for the cell shown): -159.257
Calculated density (g cm⁻³): 4.5
Energy relative to the elements, uncorrected (kJ/mol of formula units): 197
Magnetization (μB per cell): 3.02

Cell lengths 6.3392, 6.3392, 4.8833 Å; angles 90.00, 90.00, 90.00 degrees
Closest atoms and distances in Å follow each position.
Space group P4/mmm (No. 123)
Asymmetric unit:
Ba 0.0000 0.5000 0.0000  2 I 3.17
Tc 0.0000 0.0000 0.5000  2 I 2.44
P 0.5000 0.5000 0.5000  8 Ba 4.00
I 0.0000 0.0000 0.0000  2 Tc 2.44